Material: KNdTe2O6
Method: DFT, PBE-GGA
State: optimized geometry

a = 7.080 Å, b = 7.080 Å, c = 7.870 Å
α = 95.03°, β = 95.03°, γ = 106.82°
Element x y z (fractional)
O 0.076 0.554 0.755
O 0.209 0.221 0.185
Te 0.082 0.313 0.362
O 0.315 0.532 0.439
O 0.532 0.315 0.939
O 0.791 0.779 0.815
O 0.554 0.076 0.255
Nd 0.572 0.428 0.250
Nd 0.428 0.572 0.750
K 0.814 0.186 0.750
O 0.924 0.446 0.245
O 0.446 0.924 0.745
O 0.685 0.468 0.561
O 0.468 0.685 0.061
O 0.779 0.791 0.315
Te 0.918 0.687 0.638
O 0.221 0.209 0.685
K 0.186 0.814 0.250
Te 0.687 0.918 0.138
Te 0.313 0.082 0.862

formation energy without anion corrections: -41.925 kcal/mol of atoms
V: 373.5 Å³ per cell
space-group type: No. 15
theoretical density: 4.8 g/cm³

Material: K2NdTe3O12
Method: DFT, PBE-GGA
State: optimized geometry

a = 7.166 Å, b = 7.166 Å, c = 7.166 Å
α = 63.33°, β = 63.33°, γ = 63.33°
Last column: magnetic moment on the atom in μB.
Element x y z (fractional)
K 0.382 0.382 0.382  0.00
Nd 0.000 0.000 0.000  -0.01
K 0.618 0.618 0.618  0.00
O 0.881 0.881 0.409  0.10
O 0.720 0.720 0.105  0.05
O 0.881 0.409 0.881  0.10
Te 0.500 0.000 0.000  -0.01
O 0.409 0.881 0.881  0.10
Te 0.000 0.500 0.000  -0.01
Te 0.000 0.000 0.500  -0.01
O 0.119 0.119 0.591  0.10
O 0.591 0.119 0.119  0.10
O 0.105 0.720 0.720  0.05
O 0.895 0.280 0.280  0.05
O 0.280 0.280 0.895  0.05
O 0.280 0.895 0.280  0.05
O 0.720 0.105 0.720  0.05
O 0.119 0.591 0.119  0.10

formation energy without anion corrections: -32.359 kcal/mol of atoms
V: 279.4 Å³ per cell
space-group type: No. 166
theoretical density: 4.7 g/cm³

Material: KNdTe2O8
Method: DFT, PBE-GGA
State: optimized geometry

a = 5.508 Å, b = 5.508 Å, c = 7.141 Å
α = 112.69°, β = 112.69°, γ = 90.00°
Element x y z (fractional)
Nd 0.000 0.000 0.000
O 0.749 0.812 0.155
O 0.025 0.421 0.325
O 0.096 0.975 0.675
O 0.658 0.251 0.845
K 0.750 0.250 0.500
O 0.579 0.700 0.675
O 0.406 0.342 0.155
Te 0.500 0.500 0.000
Te 0.250 0.750 0.500
O 0.300 0.904 0.325
O 0.188 0.594 0.845

formation energy without anion corrections: -36.455 kcal/mol of atoms
V: 181.6 Å³ per cell
space-group type: No. 82
theoretical density: 5.2 g/cm³

Material: KNdTeO4
Method: DFT, PBE-GGA
State: optimized geometry

a = 5.967 Å, b = 6.058 Å, c = 8.288 Å
α = 90.00°, β = 112.67°, γ = 90.00°
Element x y z (fractional)
Te 0.844 0.250 0.755
O 0.460 0.750 0.188
Nd 0.782 0.750 0.464
O 0.014 0.492 0.680
K 0.413 0.750 0.852
O 0.986 0.992 0.320
O 0.986 0.508 0.320
Te 0.156 0.750 0.245
Nd 0.218 0.250 0.536
O 0.540 0.250 0.812
K 0.587 0.250 0.148
O 0.014 0.008 0.680
O 0.609 0.250 0.513
O 0.391 0.750 0.487

formation energy without anion corrections: -46.287 kcal/mol of atoms
V: 276.5 Å³ per cell
space-group type: No. 11
theoretical density: 4.5 g/cm³